This record from Alexandria via LeMat-Bulk describes a relaxed structure of Y2TlCdHg. The functional is PBE.

Cell: 7.311 4.669 8.054 Å, 90.00 107.81 90.00°
Fractional positions:
Y1 0.004 0.250 0.186
Y2 0.399 0.750 0.623
Y3 0.601 0.250 0.377
Y4 0.996 0.750 0.814
Tl1 0.300 0.750 0.200
Tl2 0.700 0.250 0.800
Cd1 0.345 0.250 0.955
Cd2 0.655 0.750 0.045
Hg1 0.116 0.250 0.586
Hg2 0.884 0.750 0.414

Calculated values
Fermi-level density of states: 6.50 states/eV per cell
M_tot: 0.0 μB/f.u.
space group: No. 11
ΔH_f (0 K): -0.3618 eV/atom
DFT total energy: -18.320 eV per formula unit
crystal system: monoclinic